# 1
The following is a DFT calculation (PBE-GGA) of crystalline MoIr3 at its relaxed geometry.

a = 5.533 Å, b = 4.413 Å, c = 5.537 Å
α = 90.00°, β = 119.94°, γ = 90.00°
Sites, in units of the cell vectors:
Ir 0.332 0.000 0.165
Ir 0.833 0.000 0.166
Ir 0.166 0.500 0.333
Ir 0.834 0.000 0.667
Ir 0.167 0.500 0.834
Ir 0.667 0.500 0.835
Mo 0.668 0.500 0.335
Mo 0.334 0.000 0.666

Output
ΔE_f: -0.333 eV/atom
ρ: 19.07 g cm⁻³
symmetry: No. 38
crystal system: orthorhombic

# 2
The following is a DFT calculation (PBE-GGA) of crystalline PmTeW at its relaxed geometry.

a = 4.810 Å, b = 4.810 Å, c = 4.810 Å
α = 60.00°, β = 60.00°, γ = 60.00°
Site moments in Bohr magnetons follow the coordinates.
Sites, in units of the cell vectors:
Pm 0.500 0.500 0.500  0.03
Te 0.250 0.250 0.250  -0.01
W 0.000 0.000 0.000  0.86

Output
energy relative to the lowest polymorph listed for this composition: 0 meV per atom
ρ: 9.63 g cm⁻³
symmetry: No. 216
crystal system: cubic

# 3
The following is a DFT calculation (PBE-GGA) of crystalline TmLuIn at its relaxed geometry.

a = 5.085 Å, b = 5.085 Å, c = 5.085 Å
α = 60.00°, β = 60.00°, γ = 60.00°
Sites, in units of the cell vectors:
In 0.000 0.000 0.000
Lu 0.250 0.250 0.250
Tm 0.750 0.750 0.750

Output
energy relative to the lowest polymorph listed for this composition: 266 meV per atom
ρ: 8.19 g cm⁻³
symmetry: No. 216
crystal system: cubic

# 4
The following is a DFT calculation (PBE-GGA) of crystalline ErTmNi2B2C2 at its relaxed geometry.

a = 3.553 Å, b = 3.553 Å, c = 7.524 Å
α = 90.00°, β = 90.00°, γ = 90.00°
Sites, in units of the cell vectors:
B 0.000 0.000 0.148
B 0.500 0.500 0.853
C 0.000 0.000 0.346
C 0.500 0.500 0.654
Er 0.500 0.500 0.335
Ni 0.500 0.000 0.000
Ni 0.000 0.500 0.000
Tm 0.000 0.000 0.664

Output
E: -0.25909 Ha/atom
ρ: 8.73 g cm⁻³
symmetry: No. 99
crystal system: tetragonal

# 5
The following is a DFT calculation (PBE-GGA) of crystalline TmMgNO at its relaxed geometry.

a = 3.521 Å, b = 5.555 Å, c = 6.018 Å
α = 90.00°, β = 90.00°, γ = 90.00°
Sites, in units of the cell vectors:
Mg 0.000 0.499 0.345
Mg 0.000 0.999 0.655
N 0.000 0.866 0.338
N 0.000 0.366 0.662
O 0.500 0.392 0.174
O 0.500 0.892 0.826
Tm 0.500 0.998 0.176
Tm 0.500 0.498 0.824

Output
energy relative to the lowest polymorph listed for this composition: 127 meV per atom
ρ: 6.30 g cm⁻³
symmetry: No. 26
crystal system: orthorhombic

# 6
The following is a DFT calculation (PBE-GGA) of crystalline DyHg at its relaxed geometry.

a = 3.604 Å, b = 3.604 Å, c = 4.764 Å
α = 90.00°, β = 90.00°, γ = 120.00°
Sites, in units of the cell vectors:
Dy 0.667 0.333 0.750
Hg 0.333 0.667 0.250

Output
ΔE_f: -0.291 eV/atom
ρ: 11.25 g cm⁻³
symmetry: No. 187
crystal system: hexagonal

# 7
The following is a DFT calculation (PBE-GGA) of crystalline ZnSe at its relaxed geometry.

a = 4.365 Å, b = 4.365 Å, c = 5.924 Å
α = 90.00°, β = 90.00°, γ = 95.63°
Sites, in units of the cell vectors:
Se 0.750 0.250 0.222
Se 0.250 0.750 0.778
Zn 0.000 0.000 0.500
Zn 0.500 0.500 0.500

Output
E: -0.09800 Ha/atom
ρ: 4.27 g cm⁻³
symmetry: No. 67
crystal system: orthorhombic

# 8
The following is a DFT calculation (PBE-GGA) of crystalline CsPaI6 at its relaxed geometry.

a = 9.025 Å, b = 9.025 Å, c = 9.025 Å
α = 55.29°, β = 55.29°, γ = 55.29°
Sites, in units of the cell vectors:
Cs 0.500 0.500 0.500
I 0.091 0.594 0.091
I 0.594 0.091 0.091
I 0.909 0.909 0.406
I 0.091 0.091 0.594
I 0.406 0.909 0.909
I 0.909 0.406 0.909
Pa 0.000 0.000 0.000

Output
E: -0.13068 Ha/atom
ρ: 4.04 g cm⁻³
symmetry: No. 166
crystal system: trigonal

Q: Among the records above, which one has the highest ρ?
A: MoIr3

Q: The highest ρ belongs to which entry?
A: MoIr3

Q: ρ of number 8 (CsPaI6)?
A: 4.04 g cm⁻³

Q: What is the ρ in the first record?
A: 19.07 g cm⁻³